Density functional theory data (PBE-GGA) for Sc2MoPb after structural relaxation.

Computed properties:
D(E_F) = 3.7 states/eV per cell
space group = No. 123
total energy = -6.91 eV/atom
magnetic moment = 0.000 μB per formula unit

a b c (Å): 3.533 3.533 6.716
angles (deg): 90.00 90.00 90.00
Sites, in units of the cell vectors:
Sc1 0.000 0.000 0.030
Sc2 0.000 0.000 0.470
Mo1 0.500 0.500 0.250
Pb1 0.500 0.500 0.750

---

Density functional theory data (PBE-GGA) for CaAlAs2 after structural relaxation.

Computed properties:
D(E_F) = 3.7 states/eV per cell
polymorph energy (0 for the lowest one) = 0.2158 eV per atom
space group = No. 99
total energy = -4.16 eV/atom
magnetic moment = 0.152 μB per formula unit

a b c (Å): 3.630 3.630 7.575
angles (deg): 90.00 90.00 90.00
Sites, in units of the cell vectors:
As1 0.000 0.000 0.840
As2 0.500 0.500 0.267
Al1 0.500 0.500 0.941
Ca1 0.000 0.000 0.451

---

Density functional theory data (PBE-GGA) for AcPIr after structural relaxation.

Computed properties:
D(E_F) = 5.0 states/eV per cell
polymorph energy (0 for the lowest one) = 0.1562 eV per atom
space group = No. 14
total energy = -7.08 eV/atom
magnetic moment = 0.000 μB per formula unit

a b c (Å): 6.524 6.338 7.119
angles (deg): 67.70 90.00 90.00
Sites, in units of the cell vectors:
P1 0.915 0.058 0.293
P2 0.085 0.942 0.707
P3 0.415 0.442 0.207
P4 0.585 0.558 0.793
Ir1 0.859 0.721 0.587
Ir2 0.359 0.779 0.913
Ir3 0.641 0.221 0.087
Ir4 0.141 0.279 0.413
Ac1 0.859 0.678 0.124
Ac2 0.641 0.178 0.624
Ac3 0.141 0.322 0.876
Ac4 0.359 0.822 0.376

---

Density functional theory data (PBE-GGA) for CaSc2GaAu4 after structural relaxation.

Computed properties:
D(E_F) = 3.9 states/eV per cell
space group = No. 166
total energy = -4.52 eV/atom
magnetic moment = 0.000 μB per formula unit

a b c (Å): 4.741 4.741 8.774
angles (deg): 74.33 74.33 60.00
Sites, in units of the cell vectors:
Au1 0.390 0.390 0.830
Au2 0.876 0.876 0.372
Au3 0.124 0.124 0.628
Au4 0.610 0.610 0.170
Sc1 0.759 0.759 0.722
Sc2 0.241 0.241 0.278
Ca1 0.000 0.000 0.000
Ga1 0.500 0.500 0.500

---

Number 1: E_form -0.111 eV per atom. Number 2: E_form -0.401 eV per atom. Number 3: E_form -0.959 eV per atom. Number 4: E_form -0.670 eV per atom.